DFT (GGA-PBE) results for crystalline K2BeIr at its relaxed geometry.

Cell lengths 6.730, 3.885, 9.620 Å; angles 90.00, 100.90, 90.00 degrees
Sites, in units of the cell vectors:
1 K 0.000 0.000 0.000
2 K 0.138 0.000 0.513
3 K 0.500 0.500 0.000
4 K 0.638 0.500 0.513
5 Be 0.236 0.500 0.256
6 Be 0.736 0.000 0.256
7 Ir 0.402 0.000 0.256
8 Ir 0.902 0.500 0.256

Computed properties:
VASP energy in eV/atom: -3.4275
Space-group type: Cm (8)
Calculated formation energy in eV/atom: 0.2680

---

DFT (GGA-PBE) results for crystalline KBeIr at its relaxed geometry.

Cell lengths 3.138, 3.138, 11.591 Å; angles 90.00, 90.00, 90.00 degrees
Sites, in units of the cell vectors:
1 K 0.000 0.000 0.000
2 K 0.500 0.500 0.500
3 Be 0.000 0.000 0.256
4 Be 0.500 0.500 0.756
5 Ir 0.000 0.000 0.729
6 Ir 0.500 0.500 0.229

Computed properties:
E above lowest polymorph in eV per atom: 0.000
VASP energy in eV/atom: -4.4896
Space-group type: I4mm (107)
Calculated formation energy in eV/atom: 0.0719

---

DFT (GGA-PBE) results for crystalline KBeIr at its relaxed geometry.

Cell lengths 6.246, 6.246, 6.246 Å; angles 90.00, 90.00, 90.00 degrees
Sites, in units of the cell vectors:
1 K 0.000 0.000 0.000
2 K 0.000 0.500 0.500
3 K 0.500 0.000 0.500
4 K 0.500 0.500 0.000
5 Be 0.000 0.000 0.500
6 Be 0.000 0.500 0.000
7 Be 0.500 0.000 0.000
8 Be 0.500 0.500 0.500
9 Ir 0.250 0.250 0.250
10 Ir 0.250 0.750 0.750
11 Ir 0.750 0.250 0.750
12 Ir 0.750 0.750 0.250

Computed properties:
E above lowest polymorph in eV per atom: 1.145
VASP energy in eV/atom: -3.3446
Space-group type: F-43m (216)
Calculated formation energy in eV/atom: 1.2170

---

DFT (GGA-PBE) results for crystalline KBeIr at its relaxed geometry.

Cell lengths 6.169, 6.169, 6.169 Å; angles 90.00, 90.00, 90.00 degrees
Sites, in units of the cell vectors:
1 K 0.000 0.000 0.000
2 K 0.000 0.500 0.500
3 K 0.500 0.000 0.500
4 K 0.500 0.500 0.000
5 Be 0.250 0.250 0.750
6 Be 0.250 0.750 0.250
7 Be 0.750 0.250 0.250
8 Be 0.750 0.750 0.750
9 Ir 0.000 0.000 0.500
10 Ir 0.000 0.500 0.000
11 Ir 0.500 0.000 0.000
12 Ir 0.500 0.500 0.500

Computed properties:
E above lowest polymorph in eV per atom: 1.085
VASP energy in eV/atom: -3.4051
Space-group type: F-43m (216)
Calculated formation energy in eV/atom: 1.1565

---

Copy entry 3 word for word.
DFT (GGA-PBE) results for crystalline KBeIr at its relaxed geometry.

Cell lengths 6.246, 6.246, 6.246 Å; angles 90.00, 90.00, 90.00 degrees
Sites, in units of the cell vectors:
1 K 0.000 0.000 0.000
2 K 0.000 0.500 0.500
3 K 0.500 0.000 0.500
4 K 0.500 0.500 0.000
5 Be 0.000 0.000 0.500
6 Be 0.000 0.500 0.000
7 Be 0.500 0.000 0.000
8 Be 0.500 0.500 0.500
9 Ir 0.250 0.250 0.250
10 Ir 0.250 0.750 0.750
11 Ir 0.750 0.250 0.750
12 Ir 0.750 0.750 0.250

Computed properties:
E above lowest polymorph in eV per atom: 1.145
VASP energy in eV/atom: -3.3446
Space-group type: F-43m (216)
Calculated formation energy in eV/atom: 1.2170

---

Please write out number 3 again, unchanged.
DFT (GGA-PBE) results for crystalline KBeIr at its relaxed geometry.

Cell lengths 6.246, 6.246, 6.246 Å; angles 90.00, 90.00, 90.00 degrees
Sites, in units of the cell vectors:
1 K 0.000 0.000 0.000
2 K 0.000 0.500 0.500
3 K 0.500 0.000 0.500
4 K 0.500 0.500 0.000
5 Be 0.000 0.000 0.500
6 Be 0.000 0.500 0.000
7 Be 0.500 0.000 0.000
8 Be 0.500 0.500 0.500
9 Ir 0.250 0.250 0.250
10 Ir 0.250 0.750 0.750
11 Ir 0.750 0.250 0.750
12 Ir 0.750 0.750 0.250

Computed properties:
E above lowest polymorph in eV per atom: 1.145
VASP energy in eV/atom: -3.3446
Space-group type: F-43m (216)
Calculated formation energy in eV/atom: 1.2170

---

The lowest VASP energy belongs to which entry?
number 2